# 1
Tb3InAg4 GGA-PBE relaxed; space group = Immm, No. 71; DOS at the Fermi energy = 3.453 states/eV/cell; DFT formation energy = -0.132 eV per atom; E_tot = -3.64 eV per atom
1.0
-3.396 0.303 -0.096
-0.724 -5.798 7.336
2.383 7.586 0.235
Ag Tb In
4 3 1
Direct
0.376 0.613 0.752
0.624 0.387 0.248
0.624 0.861 0.248
0.376 0.139 0.752
0.217 0.217 0.435
0.783 0.783 0.565
0.000 0.500 0.000
0.500 0.000 0.000

---

# 2
CsRu3F GGA-PBE relaxed; E_form (uncorrected) = 260.5 kJ per mole of atoms; space group = Pm-3m, No. 221; DOS at the Fermi energy = 4.728 states/eV/cell; E_tot = -3.41 eV per atom
1.0
5.028 0.000 0.000
0.000 5.028 0.000
0.000 0.000 5.028
F Ru Cs
1 3 1
Direct
0.500 0.500 0.500
0.000 0.500 0.000
0.000 0.000 0.500
0.500 0.000 0.000
0.000 0.000 0.000

---

# 3
Pu2SbH2 GGA-PBE relaxed; space group = C2/m, No. 12; DOS at the Fermi energy = 11.730 states/eV/cell; E_tot = -7.98 eV per atom
1.0
-1.128 3.068 -1.153
-6.454 -1.302 2.851
4.639 1.522 4.720
H Sb Pu
4 2 4
Direct
0.925 0.512 0.350
0.575 0.988 0.650
0.075 0.488 0.650
0.425 0.012 0.350
0.250 0.250 0.000
0.750 0.750 0.000
0.564 0.283 0.629
0.436 0.717 0.371
0.935 0.217 0.371
0.065 0.783 0.629